Density functional theory data (GGA-PBEsol) for a relaxed Cd2HgIr crystal.

Cell and atoms, written as CIF:
```
data_Cd2HgIr
_chemical_formula_sum 'Cd6 Hg3 Ir3'
_space_group_name_H-M_alt 'R -3 m'
_space_group_IT_number 166
_space_group_name_Hall '-R 3 2"'
_cell_length_a 2.9670
_cell_length_b 2.9670
_cell_length_c 29.1175
_cell_angle_alpha 90.00
_cell_angle_beta 90.00
_cell_angle_gamma 120.00
loop_
_atom_site_label
_atom_site_type_symbol
_atom_site_fract_x
_atom_site_fract_y
_atom_site_fract_z
Cd1 Cd 0.0000 0.0000 0.2424
Hg1 Hg 0.0000 0.0000 0.0000
Ir1 Ir 0.0000 0.0000 0.5000
```



Density functional theory data (GGA-PBEsol) for a relaxed CdHgIr2 crystal.

Cell and atoms, written as CIF:
```
data_CdHgIr2
_chemical_formula_sum 'Cd4 Hg4 Ir8'
_space_group_name_H-M_alt 'F -4 3 m'
_space_group_IT_number 216
_space_group_name_Hall 'F -4 2 3'
_cell_length_a 6.4350
_cell_length_b 6.4350
_cell_length_c 6.4350
_cell_angle_alpha 90.00
_cell_angle_beta 90.00
_cell_angle_gamma 90.00
loop_
_atom_site_label
_atom_site_type_symbol
_atom_site_fract_x
_atom_site_fract_y
_atom_site_fract_z
Cd1 Cd 0.0000 0.0000 0.0000
Hg1 Hg 0.2500 0.2500 0.7500
Ir1 Ir 0.0000 0.0000 0.5000
Ir2 Ir 0.2500 0.2500 0.2500
```



Density functional theory data (GGA-PBEsol) for a relaxed CdHgIr crystal.

Cell and atoms, written as CIF:
```
data_CdHgIr
_chemical_formula_sum 'Cd2 Hg2 Ir2'
_space_group_name_H-M_alt 'I 4 m m'
_space_group_IT_number 107
_space_group_name_Hall 'I 4 -2'
_cell_length_a 3.0029
_cell_length_b 3.0029
_cell_length_c 11.8627
_cell_angle_alpha 90.00
_cell_angle_beta 90.00
_cell_angle_gamma 90.00
loop_
_atom_site_label
_atom_site_type_symbol
_atom_site_fract_x
_atom_site_fract_y
_atom_site_fract_z
Cd1 Cd 0.0000 0.0000 0.0000
Hg1 Hg 0.0000 0.0000 0.6900
Ir1 Ir 0.0000 0.0000 0.3478
```



Density functional theory data (GGA-PBEsol) for a relaxed CdHgIr2 crystal.

Cell and atoms, written as CIF:
```
data_CdHgIr2
_chemical_formula_sum 'Cd3 Hg3 Ir6'
_space_group_name_H-M_alt 'R -3 m'
_space_group_IT_number 166
_space_group_name_Hall '-R 3 2"'
_cell_length_a 2.8830
_cell_length_b 2.8830
_cell_length_c 27.2989
_cell_angle_alpha 90.00
_cell_angle_beta 90.00
_cell_angle_gamma 120.00
loop_
_atom_site_label
_atom_site_type_symbol
_atom_site_fract_x
_atom_site_fract_y
_atom_site_fract_z
Cd1 Cd 0.0000 0.0000 0.0000
Hg1 Hg 0.0000 0.0000 0.5000
Ir1 Ir 0.0000 0.0000 0.2506
```



Density functional theory data (GGA-PBEsol) for a relaxed CdHgIr4 crystal.

Cell and atoms, written as CIF:
```
data_CdHgIr4
_chemical_formula_sum 'Cd4 Hg4 Ir16'
_space_group_name_H-M_alt 'F -4 3 m'
_space_group_IT_number 216
_space_group_name_Hall 'F -4 2 3'
_cell_length_a 7.3765
_cell_length_b 7.3765
_cell_length_c 7.3765
_cell_angle_alpha 90.00
_cell_angle_beta 90.00
_cell_angle_gamma 90.00
loop_
_atom_site_label
_atom_site_type_symbol
_atom_site_fract_x
_atom_site_fract_y
_atom_site_fract_z
Cd1 Cd 0.0000 0.0000 0.0000
Hg1 Hg 0.2500 0.2500 0.2500
Ir1 Ir 0.1251 0.1251 0.6251
```



Density functional theory data (GGA-PBEsol) for a relaxed Cd2SnHgIr crystal.

Cell and atoms, written as CIF:
```
data_Cd2SnHgIr
_chemical_formula_sum 'Cd2 Sn1 Hg1 Ir1'
_space_group_name_H-M_alt 'P 4/m m m'
_space_group_IT_number 123
_space_group_name_Hall '-P 4 2'
_cell_length_a 5.0796
_cell_length_b 5.0796
_cell_length_c 5.0864
_cell_angle_alpha 90.00
_cell_angle_beta 90.00
_cell_angle_gamma 90.00
loop_
_atom_site_label
_atom_site_type_symbol
_atom_site_fract_x
_atom_site_fract_y
_atom_site_fract_z
Cd1 Cd 0.0000 0.5000 0.0000
Sn1 Sn 0.0000 0.0000 0.5000
Hg1 Hg 0.5000 0.5000 0.0000
Ir1 Ir 0.5000 0.5000 0.5000
```



Density functional theory data (GGA-PBEsol) for a relaxed KCdHg crystal.

Cell and atoms, written as CIF:
```
data_KCdHg
_chemical_formula_sum 'K1 Cd1 Hg1'
_space_group_name_H-M_alt 'P -6 m 2'
_space_group_IT_number 187
_space_group_name_Hall 'P -6 2'
_cell_length_a 5.2324
_cell_length_b 5.2324
_cell_length_c 3.5916
_cell_angle_alpha 90.00
_cell_angle_beta 90.00
_cell_angle_gamma 120.00
loop_
_atom_site_label
_atom_site_type_symbol
_atom_site_fract_x
_atom_site_fract_y
_atom_site_fract_z
K1 K 0.0000 0.0000 0.0000
Cd1 Cd 0.6667 0.3333 0.5000
Hg1 Hg 0.3333 0.6667 0.5000
```



Density functional theory data (GGA-PBEsol) for a relaxed KCdHg4 crystal.

Cell and atoms, written as CIF:
```
data_KCdHg4
_chemical_formula_sum 'K4 Cd4 Hg16'
_space_group_name_H-M_alt 'F -4 3 m'
_space_group_IT_number 216
_space_group_name_Hall 'F -4 2 3'
_cell_length_a 8.5822
_cell_length_b 8.5822
_cell_length_c 8.5822
_cell_angle_alpha 90.00
_cell_angle_beta 90.00
_cell_angle_gamma 90.00
loop_
_atom_site_label
_atom_site_type_symbol
_atom_site_fract_x
_atom_site_fract_y
_atom_site_fract_z
K1 K 0.0000 0.0000 0.0000
Cd1 Cd 0.2500 0.2500 0.7500
Hg1 Hg 0.1247 0.1247 0.3753
```



Density functional theory data (GGA-PBEsol) for a relaxed KCd2Hg2 crystal.

Cell and atoms, written as CIF:
```
data_KCd2Hg2
_chemical_formula_sum 'K2 Cd4 Hg4'
_space_group_name_H-M_alt 'P 4/m b m'
_space_group_IT_number 127
_space_group_name_Hall '-P 4 2ab'
_cell_length_a 8.8097
_cell_length_b 8.8097
_cell_length_c 3.2191
_cell_angle_alpha 90.00
_cell_angle_beta 90.00
_cell_angle_gamma 90.00
loop_
_atom_site_label
_atom_site_type_symbol
_atom_site_fract_x
_atom_site_fract_y
_atom_site_fract_z
K1 K 0.0000 0.0000 0.0000
Cd1 Cd 0.1422 0.3578 0.5000
Hg1 Hg 0.1522 0.6522 0.0000
```



Density functional theory data (GGA-PBEsol) for a relaxed KCd2Hg2 crystal.

Cell and atoms, written as CIF:
```
data_KCd2Hg2
_chemical_formula_sum 'K2 Cd4 Hg4'
_space_group_name_H-M_alt 'I 4/m m m'
_space_group_IT_number 139
_space_group_name_Hall '-I 4 2'
_cell_length_a 4.6464
_cell_length_b 4.6464
_cell_length_c 12.6401
_cell_angle_alpha 90.00
_cell_angle_beta 90.00
_cell_angle_gamma 90.00
loop_
_atom_site_label
_atom_site_type_symbol
_atom_site_fract_x
_atom_site_fract_y
_atom_site_fract_z
K1 K 0.0000 0.0000 0.0000
Cd1 Cd 0.0000 0.5000 0.2500
Hg1 Hg 0.0000 0.0000 0.3878
```



Density functional theory data (GGA-PBEsol) for a relaxed KCdHg crystal.

Cell and atoms, written as CIF:
```
data_KCdHg
_chemical_formula_sum 'K4 Cd4 Hg4'
_space_group_name_H-M_alt 'F -4 3 m'
_space_group_IT_number 216
_space_group_name_Hall 'F -4 2 3'
_cell_length_a 7.3667
_cell_length_b 7.3667
_cell_length_c 7.3667
_cell_angle_alpha 90.00
_cell_angle_beta 90.00
_cell_angle_gamma 90.00
loop_
_atom_site_label
_atom_site_type_symbol
_atom_site_fract_x
_atom_site_fract_y
_atom_site_fract_z
K1 K 0.0000 0.0000 0.0000
Cd1 Cd 0.0000 0.0000 0.5000
Hg1 Hg 0.2500 0.2500 0.7500
```



Density functional theory data (GGA-PBEsol) for a relaxed KCd4Hg crystal.

Cell and atoms, written as CIF:
```
data_KCd4Hg
_chemical_formula_sum 'K4 Cd16 Hg4'
_space_group_name_H-M_alt 'F -4 3 m'
_space_group_IT_number 216
_space_group_name_Hall 'F -4 2 3'
_cell_length_a 8.4032
_cell_length_b 8.4032
_cell_length_c 8.4032
_cell_angle_alpha 90.00
_cell_angle_beta 90.00
_cell_angle_gamma 90.00
loop_
_atom_site_label
_atom_site_type_symbol
_atom_site_fract_x
_atom_site_fract_y
_atom_site_fract_z
K1 K 0.0000 0.0000 0.0000
Cd1 Cd 0.1245 0.1245 0.3755
Hg1 Hg 0.2500 0.2500 0.7500
```



Number 1: VASP energy -36.05 eV for the cell shown, density 13.9 g cm⁻³. Number 2: VASP energy -77.06 eV for the cell shown, density 17.4 g cm⁻³. Number 3: VASP energy -21.42 eV for the cell shown, density 15.7 g cm⁻³. Number 4: VASP energy -60.04 eV for the cell shown, density 17.7 g cm⁻³. Number 5: VASP energy -153.18 eV for the cell shown, density 17.9 g cm⁻³. Number 6: VASP energy -12.06 eV for the cell shown, density 9.3 g cm⁻³. Number 7: VASP energy -3.26 eV for the cell shown, density 6.9 g cm⁻³. Number 8: VASP energy -20.36 eV for the cell shown, density 10.0 g cm⁻³. Number 9: VASP energy -10.25 eV for the cell shown, density 8.8 g cm⁻³. Number 10: VASP energy -10.77 eV for the cell shown, density 8.1 g cm⁻³. Number 11: VASP energy -11.57 eV for the cell shown, density 5.8 g cm⁻³. Number 12: VASP energy -26.39 eV for the cell shown, density 7.7 g cm⁻³.